Density functional theory data (SCAN) for a crystal of CdTe2PdI relaxed with PBEsol.

abc: 5.2594 5.2594 5.3366
angles: 90.00 90.00 90.00
With the nearest neighbours (Å) after each atom.
Atoms (fractional coordinates):
Cd 0.0000 0.0000 0.0000  4 I 3.72, 8 Te 3.75
Te 0.0000 0.5000 0.5000  2 Pd 2.63
Te 0.5000 0.0000 0.5000  2 Pd 2.63
Pd 0.5000 0.5000 0.5000  4 Te 2.63, 2 I 2.67
I 0.5000 0.5000 0.0000  2 Pd 2.67

The uncorrected formation energy is 0.22 eV/atom.

***

Density functional theory data (SCAN) for a crystal of YSb2Ru relaxed with PBEsol.

abc: 5.8453 5.8453 5.8453
angles: 147.66 124.41 65.80
With the nearest neighbours (Å) after each atom.
Atoms (fractional coordinates):
Y 0.0000 0.0000 0.0000  4 Ru 3.18, 2 Y 3.26, 8 Sb 3.27-3.43
Sb 0.2884 0.7884 0.5000  2 Ru 2.64
Sb 0.7116 0.2116 0.5000  2 Ru 2.64
Ru 0.5000 0.5000 0.0000  4 Sb 2.64

The uncorrected formation energy is -0.30 eV/atom.

***

Density functional theory data (SCAN) for a crystal of MgInRe2 relaxed with PBEsol.

abc: 3.2085 4.4336 4.5500
angles: 90.00 90.00 90.00
With the nearest neighbours (Å) after each atom.
Atoms (fractional coordinates):
Mg 0.0000 0.0000 0.0000  4 In 2.74, 4 Re 2.78
In 0.5000 0.5000 0.0000  4 Mg 2.74, 4 Re 2.78
Re 0.0000 0.5000 0.5000  4 Re 2.74, 4 In 2.78
Re 0.5000 0.0000 0.5000  4 Re 2.74, 4 Mg 2.78

As for the formation energy: 0.393 eV/atom.

***

Density functional theory data (SCAN) for a crystal of TaCo2Rh relaxed with PBEsol.

abc: 8.5568 8.5568 8.5568
angles: 18.12 18.12 18.12
With the nearest neighbours (Å) after each atom.
Atoms (fractional coordinates):
Ta 0.0000 0.0000 0.0000  6 Ta 2.69, 3 Co 2.71, 3 Rh 2.74
Co 0.4939 0.4939 0.4939  3 Co 2.40, 3 Rh 2.62
Co 0.7547 0.7547 0.7547  3 Co 2.40
Rh 0.2438 0.2438 0.2438  3 Co 2.62, 6 Rh 2.69, 3 Ta 2.74

As for the formation energy: 0.097 eV/atom. For the polymorph energy (0 for the lowest one), the calculation gives 373 meV/atom.

***

Density functional theory data (SCAN) for a crystal of BeHg3Mo relaxed with PBEsol.

abc: 4.5678 4.5678 4.5678
angles: 90.00 90.00 90.00
With the nearest neighbours (Å) after each atom.
Atoms (fractional coordinates):
Be 0.0000 0.0000 0.0000  6 Hg 2.28
Hg 0.0000 0.0000 0.5000  2 Be 2.28
Hg 0.0000 0.5000 0.0000  2 Be 2.28
Hg 0.5000 0.0000 0.0000  2 Be 2.28
Mo 0.5000 0.5000 0.5000  12 Hg 3.23

As for the formation energy: 0.835 eV/atom.

***

Density functional theory data (SCAN) for a crystal of Ba2MnSb relaxed with PBEsol.

abc: 4.3137 4.3137 7.4826
angles: 90.00 90.00 90.00
With the nearest neighbours (Å) after each atom.
Atoms (fractional coordinates):
Ba 0.0000 0.0000 0.2360  4 Sb 3.52, 1 Ba 3.53, 4 Mn 3.63
Ba 0.0000 0.0000 0.7640  4 Sb 3.52, 1 Ba 3.53, 4 Mn 3.63
Mn 0.5000 0.5000 0.5000  8 Ba 3.63, 2 Sb 3.74
Sb 0.5000 0.5000 0.0000  8 Ba 3.52, 2 Mn 3.74

The uncorrected formation energy is -0.38 eV/atom.

***

Density functional theory data (SCAN) for a crystal of MgBeTe relaxed with PBEsol.

abc: 3.7582 3.7582 5.1841
angles: 90.00 90.00 120.00
With the nearest neighbours (Å) after each atom.
Atoms (fractional coordinates):
Mg 0.0000 0.0000 0.0000  3 Be 2.78
Be 0.6667 0.3333 0.3350  3 Te 2.42
Te 0.3333 0.6667 0.5410  3 Be 2.42

The uncorrected formation energy is -0.04 eV/atom. For the polymorph energy (0 for the lowest one), the calculation gives 0 meV/atom.

***

Density functional theory data (SCAN) for a crystal of LaCrTe2 relaxed with PBEsol.

abc: 7.1403 7.1403 7.1403
angles: 35.83 35.83 35.83
With the nearest neighbours (Å) after each atom.
Atoms (fractional coordinates):
La 0.0000 0.0000 0.0000  6 Te 3.18
Cr 0.5000 0.5000 0.5000  6 Te 2.91
Te 0.2375 0.2375 0.2375  3 Cr 2.91, 3 La 3.18
Te 0.7625 0.7625 0.7625  3 Cr 2.91, 3 La 3.18

The uncorrected formation energy is -0.98 eV/atom. For the polymorph energy (0 for the lowest one), the calculation gives 9 meV/atom.

***

Calculated volume? In order: 148; 87; 65; 53; 95; 139; 63; 112 Å³/cell.